1.
A plane-wave DFT calculation with PBE-GGA was carried out for crystalline YNb2Al2 at its relaxed geometry.

```
5
Lattice="-1.9966 1.9966 6.4160 1.9966 -1.9966 6.4160 1.9966 1.9966 -6.4160" Properties=species:S:1:pos:R:3 pbc="T T T"
Y 0.0000 0.0000 0.0000
Nb 1.9966 0.0000 3.2080
Nb 0.0000 1.9966 3.2080
Al 0.0000 0.0000 5.1362
Al 0.0000 0.0000 7.6959
```

Results
**Relative energy among the computed polymorphs**: 0 meV/atom

2.
A plane-wave DFT calculation with PBE-GGA was carried out for crystalline YNb2Al2 at its relaxed geometry.

```
5
Lattice="-2.1288 2.1288 5.8751 2.1288 -2.1288 5.8751 2.1288 2.1288 -5.8751" Properties=species:S:1:pos:R:3 pbc="T T T"
Y 0.0000 0.0000 0.0000
Nb 0.0000 0.0000 4.6673
Nb 0.0000 0.0000 7.0828
Al 2.1288 0.0000 2.9375
Al 0.0000 2.1288 2.9375
```

Results
**Relative energy among the computed polymorphs**: 399 meV/atom

3.
A plane-wave DFT calculation with PBE-GGA was carried out for crystalline Y2NbAl at its relaxed geometry.

```
8
Lattice="-2.1332 2.1332 10.6647 2.1332 -2.1332 10.6647 2.1332 2.1332 -10.6647" Properties=species:S:1:pos:R:3 pbc="T T T"
Y 3.1998 1.0572 -2.6662
Y 1.0572 1.0666 2.6662
Y -1.0666 1.0760 7.9985
Y 1.0760 1.0666 13.3309
Nb 0.0000 0.0000 0.0000
Nb 0.0000 2.1332 5.3324
Al 2.1332 0.0000 5.3324
Al 0.0000 0.0000 10.6647
```

Results
**E**: -6.1665 eV per atom

4.
A plane-wave DFT calculation with PBE-GGA was carried out for crystalline Yb6Nb4Al43 at its relaxed geometry.

```
106
Lattice="11.1422 0.0000 0.0000 -5.5711 9.6495 0.0000 0.0000 0.0000 17.8137" Properties=species:S:1:pos:R:3 pbc="T T T"
Yb -2.6210 4.5397 1.6927
Yb -2.6210 4.5397 7.2141
Yb -2.9501 5.1098 10.5995
Yb -2.9501 5.1098 16.1210
Yb 5.2420 0.0000 1.6927
Yb 5.2420 0.0000 7.2141
Yb 2.6210 4.5397 10.5995
Yb 2.6210 4.5397 16.1210
Yb 5.9002 0.0000 10.5995
Yb 5.9002 0.0000 16.1210
Yb 2.9501 5.1098 1.6927
Yb 2.9501 5.1098 7.2141
Nb 0.0000 0.0000 0.0000
Nb 0.0000 0.0000 8.9068
Nb -1.5105 2.6163 4.4534
Nb -4.0606 7.0332 13.3603
Nb 3.0210 0.0000 4.4534
Nb 1.5105 2.6163 13.3603
Nb 8.1212 0.0000 13.3603
Nb 4.0606 7.0332 4.4534
Al -0.8272 1.4328 13.3603
Al -0.8848 1.5325 2.0478
Al -0.8848 1.5325 6.8591
Al -1.4227 2.4642 9.4526
Al -1.4227 2.4642 17.2680
Al -4.1484 7.1853 0.5457
Al -4.1484 7.1853 8.3611
Al -4.6863 8.1170 10.9546
Al -4.6863 8.1170 15.7659
Al -4.7439 8.2166 4.4534
Al 1.6545 0.0000 13.3603
Al 0.8272 1.4328 4.4534
Al -1.4153 5.3437 4.4534
Al -1.6510 5.7519 13.3603
Al 1.7695 0.0000 2.0478
Al 1.7695 0.0000 6.8591
Al 0.8848 1.5325 10.9546
Al 0.8848 1.5325 15.7659
Al -0.4357 3.8156 11.8023
Al -0.4357 3.8156 14.9182
Al -2.4845 7.3643 2.8955
Al -2.4845 7.3643 6.0114
Al 0.4357 3.8156 2.8955
Al 0.4357 3.8156 6.0114
Al -2.0488 8.1189 11.8023
Al -2.0488 8.1189 14.9182
Al 0.0000 4.7636 0.0000
Al 0.0000 4.7636 8.9068
Al -1.4458 7.2677 0.0000
Al -1.4458 7.2677 8.9068
Al 2.8454 0.0000 9.4526
Al 2.8454 0.0000 17.2680
Al 1.4227 2.4642 0.5457
Al 1.4227 2.4642 8.3611
Al 0.0000 6.4330 2.2290
Al 0.0000 6.4330 6.6779
Al 0.0000 6.4330 11.1358
Al 0.0000 6.4330 15.5847
Al 3.5223 1.5305 11.8023
Al 3.5223 1.5305 14.9182
Al 3.0866 2.2851 2.8955
Al 3.0866 2.2851 6.0114
Al 1.4153 5.3437 13.3603
Al -0.2357 8.2033 4.4534
Al 1.6510 5.7519 4.4534
Al 0.2357 8.2033 13.3603
Al 4.1254 2.3818 0.0000
Al 4.1254 2.3818 8.9068
Al 1.4458 7.2677 0.0000
Al 1.4458 7.2677 8.9068
Al 5.3354 1.4462 4.4534
Al 3.9201 3.8975 13.3603
Al 5.8068 1.4462 13.3603
Al 4.1558 4.3058 4.4534
Al 2.4845 7.3643 11.8023
Al 2.4845 7.3643 14.9182
Al 2.0488 8.1189 2.8955
Al 2.0488 8.1189 6.0114
Al 5.5711 3.2165 2.2290
Al 5.5711 3.2165 6.6779
Al 5.5711 3.2165 11.1358
Al 5.5711 3.2165 15.5847
Al 8.2968 0.0000 0.5457
Al 8.2968 0.0000 8.3611
Al 4.1484 7.1853 9.4526
Al 4.1484 7.1853 17.2680
Al 7.0169 2.3818 0.0000
Al 7.0169 2.3818 8.9068
Al 5.5711 4.8859 0.0000
Al 5.5711 4.8859 8.9068
Al 7.6199 1.5305 2.8955
Al 7.6199 1.5305 6.0114
Al 5.1354 5.8338 11.8023
Al 5.1354 5.8338 14.9182
Al 9.3727 0.0000 10.9546
Al 9.3727 0.0000 15.7659
Al 8.0556 2.2851 11.8023
Al 8.0556 2.2851 14.9182
Al 6.0068 5.8338 2.8955
Al 6.0068 5.8338 6.0114
Al 4.6863 8.1170 2.0478
Al 4.6863 8.1170 6.8591
Al 7.2221 3.8975 4.4534
Al 6.9864 4.3058 13.3603
Al 9.4878 0.0000 4.4534
Al 4.7439 8.2166 13.3603
```

Results
**E**: -4.2810 eV per atom

5.
A plane-wave DFT calculation with PBE-GGA was carried out for crystalline NbAl3Zn at its relaxed geometry.

```
5
Lattice="5.0358 0.0000 0.0000 0.0000 5.0358 0.0000 0.0000 0.0000 5.0358" Properties=species:S:1:pos:R:3 pbc="T T T"
Nb 0.0000 0.0000 0.0000
Al 0.0000 0.0000 2.5179
Al 0.0000 2.5179 0.0000
Al 2.5179 0.0000 0.0000
Zn 2.5179 2.5179 2.5179
```

Results
**Relative energy among the computed polymorphs**: 884 meV/atom

6.
A plane-wave DFT calculation with PBE-GGA was carried out for crystalline Nb2Al4Zn at its relaxed geometry.

```
7
Lattice="-2.3596 2.3596 6.5420 2.3596 -2.3596 6.5420 2.3596 2.3596 -6.5420" Properties=species:S:1:pos:R:3 pbc="T T T"
Nb 0.0000 0.0000 1.3517
Nb 0.0000 0.0000 11.7324
Al 2.3596 0.0000 0.0000
Al 0.0000 0.0000 4.1049
Al 0.0000 2.3596 0.0000
Al 0.0000 0.0000 8.9792
Zn 0.0000 0.0000 6.5420
```

Results
**E**: -4.5972 eV per atom

7.
A plane-wave DFT calculation with PBE-GGA was carried out for crystalline NbAl2Zn at its relaxed geometry.

```
4
Lattice="2.0744 1.1976 4.4050 -2.0744 1.1976 4.4050 0.0000 -2.3953 4.4050" Properties=species:S:1:pos:R:3 pbc="T T T"
Nb 0.0000 0.0000 0.0000
Al 0.0000 0.0000 2.9673
Al 0.0000 0.0000 10.2476
Zn 0.0000 0.0000 6.6075
```

Results
**E**: -4.6578 eV per atom

8.
A plane-wave DFT calculation with PBE-GGA was carried out for crystalline NbAl4Zn at its relaxed geometry.

```
6
Lattice="3.0699 0.0000 0.0000 0.0000 3.8451 0.0000 -0.0251 0.0000 8.2937" Properties=species:S:1:pos:R:3 pbc="T T T"
Nb 0.0000 0.0000 0.0000
Al -0.0037 0.0000 2.7788
Al 1.5314 1.9226 1.3912
Al 1.5134 1.9226 6.9025
Al 3.0485 0.0000 5.5149
Zn 1.5224 1.9226 4.1469
```

Results
**E**: -4.5460 eV per atom

9.
A plane-wave DFT calculation with PBE-GGA was carried out for crystalline NbAl3Zn at its relaxed geometry.

```
5
Lattice="4.5631 0.0000 0.0000 0.0000 4.5631 0.0000 0.0000 0.0000 4.5631" Properties=species:S:1:pos:R:3 pbc="T T T"
Nb 0.0000 0.0000 0.0000
Al 0.0000 2.2816 2.2816
Al 2.2816 0.0000 2.2816
Al 2.2816 2.2816 0.0000
Zn 2.2816 2.2816 2.2816
```

Results
**Relative energy among the computed polymorphs**: 802 meV/atom

10.
A plane-wave DFT calculation with PBE-GGA was carried out for crystalline NbAl4Zn at its relaxed geometry.

```
12
Lattice="2.3642 -6.8736 0.0000 2.3642 6.8736 0.0000 0.0000 0.0000 6.0160" Properties=species:S:1:pos:R:3 pbc="T T T"
Nb 2.3642 4.6492 3.0080
Nb 2.3642 -4.6492 0.0000
Al 2.3642 6.8669 1.4679
Al 2.3642 -6.8669 4.4759
Al 2.3642 4.3012 5.9898
Al 2.3642 2.1636 1.6432
Al 2.3642 0.2735 5.9469
Al 2.3642 -0.2735 2.9389
Al 2.3642 -2.1636 4.6512
Al 2.3642 -4.3012 2.9818
Zn 2.3642 2.1217 4.2530
Zn 2.3642 -2.1217 1.2450
```

Results
**E**: -4.4495 eV per atom

11.
A plane-wave DFT calculation with PBE-GGA was carried out for crystalline Nb3AlZn3 at its relaxed geometry.

```
14
Lattice="7.5860 0.0000 0.0000 -3.7930 6.5697 0.0000 0.0000 0.0000 4.5977" Properties=species:S:1:pos:R:3 pbc="T T T"
Nb -1.0603 3.0494 1.1494
Nb -0.6220 5.9633 1.1494
Nb 2.1107 2.4430 3.4482
Nb 1.6823 4.1267 1.1494
Nb 4.4150 0.6064 3.4482
Nb 4.8533 3.5203 3.4482
Al 0.0000 4.3798 3.4482
Al 3.7930 2.1899 1.1494
Zn -0.5338 1.5150 3.4482
Zn -2.2141 6.2745 3.4482
Zn 1.0452 1.2198 1.1494
Zn 2.7479 5.3499 3.4482
Zn 6.0071 0.2952 1.1494
Zn 4.3268 5.0547 1.1494
```

Results
**E**: -5.5257 eV per atom

12.
A plane-wave DFT calculation with PBE-GGA was carried out for crystalline NbAl2Zn2 at its relaxed geometry.

```
10
Lattice="7.2994 0.0000 0.0000 0.0000 7.2994 0.0000 0.0000 0.0000 2.9558" Properties=species:S:1:pos:R:3 pbc="T T T"
Nb 0.0000 0.0000 0.0000
Nb 3.6497 3.6497 0.0000
Al 1.2975 2.3522 1.4779
Al 2.3522 6.0019 1.4779
Al 4.9472 1.2975 1.4779
Al 6.0019 4.9472 1.4779
Zn 0.8909 4.5407 0.0000
Zn 2.7588 0.8909 0.0000
Zn 4.5407 6.4085 0.0000
Zn 6.4085 2.7588 0.0000
```

Results
**E**: -4.0523 eV per atom

13.
A plane-wave DFT calculation with PBE-GGA was carried out for crystalline NbAl2Zn at its relaxed geometry.

```
4
Lattice="4.0134 0.0000 0.0000 0.0000 4.0134 0.0000 0.0000 0.0000 3.8864" Properties=species:S:1:pos:R:3 pbc="T T T"
Nb 0.0000 0.0000 0.0000
Al 0.0000 2.0067 1.9432
Al 2.0067 0.0000 1.9432
Zn 2.0067 2.0067 0.0000
```

Results
**E**: -4.9981 eV per atom

14.
A plane-wave DFT calculation with PBE-GGA was carried out for crystalline NbAlZn at its relaxed geometry.

```
6
Lattice="-2.5081 2.5836 3.5824 2.5081 -2.5836 3.5824 2.5081 2.5836 -3.5824" Properties=species:S:1:pos:R:3 pbc="T T T"
Nb 0.0000 1.2918 0.9267
Nb 2.5081 1.2918 2.6556
Al 2.5081 0.0000 0.0000
Al 0.0000 0.0000 3.5824
Zn 1.2541 1.2918 -1.7912
Zn 1.2541 -1.2918 1.7912
```

Results
**E**: -5.3543 eV per atom

15.
A plane-wave DFT calculation with PBE-GGA was carried out for crystalline NbAl2Zn at its relaxed geometry.

```
8
Lattice="-3.5436 3.5436 2.7288 3.5436 -3.5436 2.7288 3.5436 3.5436 -2.7288" Properties=species:S:1:pos:R:3 pbc="T T T"
Nb 0.0000 0.0000 0.0000
Nb 0.0000 3.5436 1.3644
Al 1.7718 -1.5582 2.0466
Al 1.9853 1.7718 0.6822
Al 1.7718 5.1018 -0.6822
Al 1.5582 1.7718 3.4110
Zn 3.5436 0.0000 1.3644
Zn 0.0000 0.0000 2.7288
```

Results
**E**: -4.5597 eV per atom

16.
A plane-wave DFT calculation with PBE-GGA was carried out for crystalline NbAlZn at its relaxed geometry.

```
3
Lattice="4.3277 0.0000 0.0000 -2.1638 3.7479 0.0000 0.0000 0.0000 2.9660" Properties=species:S:1:pos:R:3 pbc="T T T"
Nb 0.0000 0.0000 0.0000
Al 2.1638 1.2493 1.4830
Zn 0.0000 2.4986 1.4830
```

Results
**E**: -5.1955 eV per atom

17.
A plane-wave DFT calculation with PBE-GGA was carried out for crystalline NbAl2Zn at its relaxed geometry.

```
4
Lattice="-1.8943 1.8943 4.4408 1.8943 -1.8943 4.4408 1.8943 1.8943 -4.4408" Properties=species:S:1:pos:R:3 pbc="T T T"
Nb 0.0000 0.0000 0.0000
Al 0.0000 0.0000 4.4408
Al 0.0000 1.8943 2.2204
Zn 1.8943 0.0000 2.2204
```

Results
**E**: -4.9901 eV per atom

18.
A plane-wave DFT calculation with PBE-GGA was carried out for crystalline Nb2Al2Zn at its relaxed geometry.

```
10
Lattice="6.9657 0.0000 0.0000 0.0000 6.9657 0.0000 0.0000 0.0000 3.7433" Properties=species:S:1:pos:R:3 pbc="T T T"
Nb 0.9321 2.5507 0.0000
Nb 2.5507 6.0336 0.0000
Nb 4.4150 0.9321 0.0000
Nb 6.0336 4.4150 0.0000
Al 1.1518 4.6347 1.8716
Al 2.3311 1.1518 1.8716
Al 4.6347 5.8140 1.8716
Al 5.8140 2.3311 1.8716
Zn 0.0000 0.0000 0.0000
Zn 3.4829 3.4829 0.0000
```

Results
**Relative energy among the computed polymorphs**: 147 meV/atom

19.
A plane-wave DFT calculation with PBE-GGA was carried out for crystalline Nb12AlZn3 at its relaxed geometry.

```
16
Lattice="5.2020 0.0000 0.0000 0.0000 5.2043 0.0000 0.0000 0.0000 10.3497" Properties=species:S:1:pos:R:3 pbc="T T T"
Nb 0.0000 0.0000 1.2804
Nb 0.0000 0.0000 3.8712
Nb 0.0000 0.0000 6.4785
Nb 0.0000 0.0000 9.0693
Nb 1.3066 2.6022 2.5891
Nb 1.3066 2.6022 7.7605
Nb 2.6010 1.3061 0.0000
Nb 2.6010 1.3114 5.1748
Nb 2.6010 3.8929 5.1748
Nb 2.6010 3.8982 0.0000
Nb 3.8954 2.6022 2.5891
Nb 3.8954 2.6022 7.7605
Al 0.0000 2.6022 5.1748
Zn 0.0000 2.6022 0.0000
Zn 2.6010 0.0000 2.5940
Zn 2.6010 0.0000 7.7557
```

Results
**E**: -8.0736 eV per atom

20.
A plane-wave DFT calculation with PBE-GGA was carried out for crystalline NbAlZn at its relaxed geometry.

```
3
Lattice="-1.4834 1.4834 5.4752 1.4834 -1.4834 5.4752 1.4834 1.4834 -5.4752" Properties=species:S:1:pos:R:3 pbc="T T T"
Nb 0.0000 0.0000 0.0000
Al 0.0000 0.0000 3.5840
Zn 0.0000 0.0000 7.3718
```

Results
**E**: -5.1391 eV per atom